# YTa2Os (PBE, relaxed)
data_YTa2Os
_chemical_formula_sum 'Y1 Ta2 Os1'
_cell_length_a 5.6522
_cell_length_b 5.6522
_cell_length_c 4.8914
_cell_angle_alpha 64.32
_cell_angle_beta 64.32
_cell_angle_gamma 33.07
_symmetry_space_group_name_H-M 'P 1'
_symmetry_Int_Tables_number 1
_symmetry_space_group_name_Hall 'P 1'
loop_
_atom_site_label
_atom_site_fract_x
_atom_site_fract_y
_atom_site_fract_z
Os1 0.7359 0.7359 0.7640
Ta1 0.0178 0.0178 0.9821
Ta2 0.2586 0.2586 0.2415
Y1 0.4876 0.4876 0.5123
# Relative energy among the computed polymorphs ... 0.1383 eV per atom
# Size of the total moment ... 0.0 μB per formula unit
# Density of states at the Fermi level ... 3.12 states/eV per cell
# E_tot ... -10.210 eV/atom
# V ... 76.1 Å³/cell
# Calculated formation energy ... 0.140 eV/atom

# Ce3SmTh2Se6 (PBE, relaxed)
data_Ce3SmTh2Se6
_chemical_formula_sum 'Ce3 Sm1 Th2 Se6'
_cell_length_a 7.2596
_cell_length_b 7.2596
_cell_length_c 7.2677
_cell_angle_alpha 99.57
_cell_angle_beta 99.57
_cell_angle_gamma 119.89
_symmetry_space_group_name_H-M 'P 1'
_symmetry_Int_Tables_number 1
_symmetry_space_group_name_Hall 'P 1'
loop_
_atom_site_label
_atom_site_fract_x
_atom_site_fract_y
_atom_site_fract_z
Ce1 0.1671 0.8329 0.5000
Ce2 0.8329 0.1671 0.5000
Ce3 0.5000 0.5000 0.5000
Sm1 0.0000 0.0000 0.0000
Th1 0.3336 0.6664 0.0000
Th2 0.6664 0.3336 0.0000
Se1 0.9168 0.5860 0.7499
Se2 0.7532 0.7532 0.2511
Se3 0.0832 0.4140 0.2501
Se4 0.5860 0.9168 0.7499
Se5 0.2468 0.2468 0.7489
Se6 0.4140 0.0832 0.2501
# Size of the total moment ... 2.6 μB per formula unit
# Density of states at the Fermi level ... 20.73 states/eV per cell
# E_tot ... -6.585 eV/atom
# V ... 313.2 Å³/cell
# Raw formation energy ... -20.76 eV/f.u.

# VCoC3 (PBE, relaxed)
data_VCoC3
_chemical_formula_sum 'V1 Co1 C3'
_cell_length_a 3.6797
_cell_length_b 3.6797
_cell_length_c 3.6797
_cell_angle_alpha 90.00
_cell_angle_beta 90.00
_cell_angle_gamma 90.00
_symmetry_space_group_name_H-M 'P 1'
_symmetry_Int_Tables_number 1
_symmetry_space_group_name_Hall 'P 1'
loop_
_atom_site_label
_atom_site_fract_x
_atom_site_fract_y
_atom_site_fract_z
C1 0.0000 0.5000 0.0000
C2 0.0000 0.0000 0.5000
C3 0.5000 0.0000 0.0000
Co1 0.0000 0.0000 0.0000
V1 0.5000 0.5000 0.5000
# Relative energy among the computed polymorphs ... 0.0000 eV per atom
# Size of the total moment ... 2.4 μB per formula unit
# Density of states at the Fermi level ... 5.69 states/eV per cell
# E_tot ... -6.848 eV/atom
# V ... 49.8 Å³/cell
# Calculated formation energy ... 1.932 eV/atom